Below is crystalline CaHoWO6 at its relaxed geometry, with properties calculated at the GGA+U level.

## Properties
For the uncorrected energy, the calculation gives -7.35 eV per atom. For the density of states at the Fermi level, the calculation gives 5.16 states/eV/cell. The value obtained for the volume is 14.61 A^3/atom.

Lattice parameters (Å, degrees): 4.845 5.598 5.598 120.00 90.00 90.00
Each line ends with the local moment (μB).
Atoms (fractional coordinates):
Ho (0.500, 0.667, 0.333)  -0.01
O (0.278, 0.709, 0.003)  0.16
O (0.278, 0.997, 0.706)  0.16
O (0.722, 0.709, 0.706)  0.16
O (0.722, 0.997, 0.291)  0.16
O (0.278, 0.294, 0.291)  0.16
O (0.722, 0.294, 0.003)  0.16
W (0.500, 0.000, 0.000)  -0.09
Ca (0.000, 0.333, 0.667)  0.00